TaTl2Ir: relaxed, PBE.

Lattice parameters (Å, degrees): 3.0968 3.2288 8.9184 90.00 99.91 90.00
Space group Pm (No. 6)
One atom of each set of equivalent atoms:
Ta: 0.0000 0.0000 0.0000 [1 per cell]
Tl: 0.6260 0.5000 0.2572 [1 per cell]
Tl: 0.8105 0.0000 0.5846 [1 per cell]
Ir: 0.4204 0.5000 0.8400 [1 per cell]

Computed properties:
Crystal system: monoclinic
VASP energy, eV/atom: -6.2400
Formation energy from the elements, kJ per mole of atoms: 11.7
Excess energy over the best structure of this formula in the dataset, kcal/mol of atoms: 0.00
Magnetization, μB per atom: 0.0000

TaTl2Ir: relaxed, PBE.

Lattice parameters (Å, degrees): 4.2467 4.2467 8.7263 90.00 90.00 90.00
Space group I-4m2 (No. 119)
One atom of each set of equivalent atoms:
Ta: 0.0000 0.0000 0.0000 [2 per cell]
Tl: 0.0000 0.0000 0.5000 [2 per cell]
Tl: 0.0000 0.5000 0.7500 [2 per cell]
Ir: 0.0000 0.5000 0.2500 [2 per cell]

Computed properties:
Crystal system: tetragonal
VASP energy, eV/atom: -5.7450
Formation energy from the elements, kJ per mole of atoms: 59.5
Excess energy over the best structure of this formula in the dataset, kcal/mol of atoms: 11.42
Magnetization, μB per atom: 0.0000

TaTl2Ir: relaxed, PBE.

Lattice parameters (Å, degrees): 3.1339 3.1339 27.8772 90.00 90.00 120.00
Space group R-3m (No. 166, hexagonal axes)
One atom of each set of equivalent atoms:
Ta: 0.0000 0.0000 0.0000 [3 per cell]
Tl: 0.0000 0.0000 0.2459 [6 per cell]
Ir: 0.0000 0.0000 0.5000 [3 per cell]

Computed properties:
Crystal system: trigonal
VASP energy, eV/atom: -5.7224
Formation energy from the elements, kJ per mole of atoms: 61.7
Excess energy over the best structure of this formula in the dataset, kcal/mol of atoms: 11.94
Magnetization, μB per atom: 0.0000

TaTl2Ir: relaxed, PBE.

Lattice parameters (Å, degrees): 3.0995 5.3861 9.6725 90.00 90.00 90.00
Space group Cmmm (No. 65)
One atom of each set of equivalent atoms:
Ta: 0.0000 0.0000 0.0000 [2 per cell]
Tl: 0.0000 0.5000 0.2609 [4 per cell]
Ir: 0.0000 0.0000 0.5000 [2 per cell]

Computed properties:
Crystal system: orthorhombic
VASP energy, eV/atom: -5.6949
Formation energy from the elements, kJ per mole of atoms: 64.3
Excess energy over the best structure of this formula in the dataset, kcal/mol of atoms: 12.57
Magnetization, μB per atom: 0.0000

TaTl2Ir: relaxed, PBE.

Lattice parameters (Å, degrees): 5.7719 9.1148 3.0382 90.00 90.00 90.00
Space group Cmmm (No. 65)
One atom of each set of equivalent atoms:
Ta: 0.0000 0.0000 0.0000 [2 per cell]
Tl: 0.2500 0.2500 0.5000 [4 per cell]
Ir: 0.0000 0.5000 0.0000 [2 per cell]

Computed properties:
Crystal system: orthorhombic
VASP energy, eV/atom: -5.6544
Formation energy from the elements, kJ per mole of atoms: 68.2
Excess energy over the best structure of this formula in the dataset, kcal/mol of atoms: 13.51
Magnetization, μB per atom: 0.0000

TaTl2Ir: relaxed, PBE.

Lattice parameters (Å, degrees): 3.1305 3.1305 7.9576 90.00 90.00 90.00
Space group P4/mmm (No. 123)
One atom of each set of equivalent atoms:
Ta: 0.0000 0.0000 0.0000 [1 per cell]
Tl: 0.5000 0.5000 0.2673 [2 per cell]
Ir: 0.0000 0.0000 0.5000 [1 per cell]

Computed properties:
Crystal system: tetragonal
VASP energy, eV/atom: -5.6936
Formation energy from the elements, kJ per mole of atoms: 64.5
Excess energy over the best structure of this formula in the dataset, kcal/mol of atoms: 12.60
Magnetization, μB per atom: 0.0000

TaTl2Ir: relaxed, PBE.

Lattice parameters (Å, degrees): 5.9982 3.5410 9.1892 90.00 101.77 90.00
Space group Cm (No. 8)
One atom of each set of equivalent atoms:
Ta: 0.0000 0.0000 0.0000 [2 per cell]
Tl: 0.0372 0.5000 0.5763 [2 per cell]
Tl: 0.2564 0.5000 0.2779 [2 per cell]
Ir: 0.2877 0.0000 0.8414 [2 per cell]

Computed properties:
Crystal system: monoclinic
VASP energy, eV/atom: -6.1589
Formation energy from the elements, kJ per mole of atoms: 19.6
Excess energy over the best structure of this formula in the dataset, kcal/mol of atoms: 1.87
Magnetization, μB per atom: 0.0000

TaTl3Ir: relaxed, PBE.

Lattice parameters (Å, degrees): 5.4003 5.4003 5.4003 90.00 90.00 90.00
Space group Pm-3m (No. 221)
One atom of each set of equivalent atoms:
Ta: 0.0000 0.0000 0.0000 [1 per cell]
Tl: 0.0000 0.0000 0.5000 [3 per cell]
Ir: 0.5000 0.5000 0.5000 [1 per cell]

Computed properties:
Crystal system: cubic
VASP energy, eV/atom: -3.8796
Formation energy from the elements, kJ per mole of atoms: 162.4
Excess energy over the best structure of this formula in the dataset, kcal/mol of atoms: 9.00
Magnetization, μB per atom: 0.3378

TaTlIr2: relaxed, PBE.

Lattice parameters (Å, degrees): 3.1418 3.1074 7.8978 90.00 101.00 90.00
Space group P2/m (No. 10)
One atom of each set of equivalent atoms:
Ta: 0.0000 0.0000 0.0000 [1 per cell]
Tl: 0.5000 0.0000 0.5000 [1 per cell]
Ir: 0.4145 0.5000 0.8012 [2 per cell]

Computed properties:
Crystal system: monoclinic
VASP energy, eV/atom: -8.1227
Formation energy from the elements, kJ per mole of atoms: -13.3
Excess energy over the best structure of this formula in the dataset, kcal/mol of atoms: 0.00
Magnetization, μB per atom: 0.0000

TaTl2Ir: relaxed, PBE.

Lattice parameters (Å, degrees): 11.2205 3.0674 5.2443 90.00 117.64 90.00
Space group C2/m (No. 12)
One atom of each set of equivalent atoms:
Ta: 0.0000 0.0000 0.0000 [2 per cell]
Tl: 0.2374 0.0000 0.7376 [4 per cell]
Ir: 0.0000 0.5000 0.5000 [2 per cell]

Computed properties:
Crystal system: monoclinic
VASP energy, eV/atom: -5.8126
Formation energy from the elements, kJ per mole of atoms: 53.0
Excess energy over the best structure of this formula in the dataset, kcal/mol of atoms: 9.86
Magnetization, μB per atom: 0.0000

TaTl2Ir: relaxed, PBE.

Lattice parameters (Å, degrees): 3.2696 3.2696 8.5258 90.00 90.00 90.00
Space group P4mm (No. 99)
One atom of each set of equivalent atoms:
Ta: 0.0000 0.0000 0.0000 [1 per cell]
Tl: 0.0000 0.0000 0.5894 [1 per cell]
Tl: 0.5000 0.5000 0.2656 [1 per cell]
Ir: 0.5000 0.5000 0.8579 [1 per cell]

Computed properties:
Crystal system: tetragonal
VASP energy, eV/atom: -6.2266
Formation energy from the elements, kJ per mole of atoms: 13.0
Excess energy over the best structure of this formula in the dataset, kcal/mol of atoms: 0.31
Magnetization, μB per atom: 0.0000

TaTlIr2: relaxed, PBE.

Lattice parameters (Å, degrees): 2.9975 4.5003 5.3074 90.00 102.99 90.00
Space group Pm (No. 6)
One atom of each set of equivalent atoms:
Ta: 0.0000 0.0000 0.0000 [1 per cell]
Tl: 0.7394 0.5000 0.3551 [1 per cell]
Ir: 0.3115 0.0000 0.5200 [1 per cell]
Ir: 0.4534 0.5000 0.8353 [1 per cell]

Computed properties:
Crystal system: monoclinic
VASP energy, eV/atom: -7.8513
Formation energy from the elements, kJ per mole of atoms: 12.9
Excess energy over the best structure of this formula in the dataset, kcal/mol of atoms: 6.26
Magnetization, μB per atom: 0.0000

TaTlIr2: relaxed, PBE.

Lattice parameters (Å, degrees): 4.8271 4.8271 2.9819 90.00 90.00 90.00
Space group P4/mmm (No. 123)
One atom of each set of equivalent atoms:
Ta: 0.0000 0.0000 0.0000 [1 per cell]
Tl: 0.5000 0.5000 0.0000 [1 per cell]
Ir: 0.0000 0.5000 0.5000 [2 per cell]

Computed properties:
Crystal system: tetragonal
VASP energy, eV/atom: -7.7967
Formation energy from the elements, kJ per mole of atoms: 18.2
Excess energy over the best structure of this formula in the dataset, kcal/mol of atoms: 7.52
Magnetization, μB per atom: 0.0000

Ta4TlIr: relaxed, PBE.

Lattice parameters (Å, degrees): 7.6903 7.6903 7.6903 90.00 90.00 90.00
Space group F-43m (No. 216)
One atom of each set of equivalent atoms:
Ta: 0.1243 0.1243 0.1243 [16 per cell]
Tl: 0.2500 0.2500 0.7500 [4 per cell]
Ir: 0.0000 0.0000 0.5000 [4 per cell]

Computed properties:
Crystal system: cubic
VASP energy, eV/atom: -9.3194
Formation energy from the elements, kJ per mole of atoms: 43.8
Magnetization, μB per atom: 0.0000

TaTlIr2: relaxed, PBE.

Lattice parameters (Å, degrees): 3.5490 3.5490 5.7587 90.00 90.00 90.00
Space group P4mm (No. 99)
One atom of each set of equivalent atoms:
Ta: 0.0000 0.0000 0.0000 [1 per cell]
Tl: 0.5000 0.5000 0.3381 [1 per cell]
Ir: 0.0000 0.0000 0.5606 [1 per cell]
Ir: 0.5000 0.5000 0.8438 [1 per cell]

Computed properties:
Crystal system: tetragonal
VASP energy, eV/atom: -7.7617
Formation energy from the elements, kJ per mole of atoms: 21.6
Excess energy over the best structure of this formula in the dataset, kcal/mol of atoms: 8.32
Magnetization, μB per atom: 0.0000